{"formula": "Ac3SiTe2", "functional": "GGA-PBE", "state": "relaxed", "relative_energy_ev_per_atom": 0.015, "raw_formation_energy_kcal_per_mol_atoms": -29.3, "sg": "No. 15", "cell": [[4.118, -7.032, 0.000], [4.118, 7.032, 0.000], [-2.710, 0.000, 7.613]], "species": ["Ac", "Ac", "Ac", "Ac", "Ac", "Ac", "Si", "Si", "Te", "Te", "Te", "Te"], "fractional_positions": [[0.000, 0.500, 0.000], [0.147, 0.296, 0.498], [0.296, 0.147, 0.998], [0.500, 0.000, 0.500], [0.704, 0.853, 0.002], [0.853, 0.704, 0.502], [0.088, 0.912, 0.250], [0.912, 0.088, 0.750], [0.257, 0.743, 0.750], [0.418, 0.582, 0.250], [0.582, 0.418, 0.750], [0.743, 0.257, 0.250]]}

***

{"formula": "RbHf2PtSe", "functional": "GGA-PBE", "state": "relaxed", "raw_formation_energy_kcal_per_mol_atoms": 14.1, "sg": "No. 123", "cell": [[4.950, 0.000, 0.000], [0.000, 4.950, 0.000], [0.000, 0.000, 5.736]], "species": ["Rb", "Hf", "Hf", "Pt", "Se"], "fractional_positions": [[0.000, 0.000, 0.000], [0.000, 0.500, 0.500], [0.500, 0.000, 0.500], [0.500, 0.500, 0.000], [0.000, 0.000, 0.500]]}